Entry from the Alexandria database: crystalline Ac4MnSn8 at its relaxed geometry (PBE).

Cell lengths 4.607, 4.763, 18.409 Å; angles 90.00, 90.00, 90.00 degrees
Space group Pmm2 (No. 25)
One atom of each set of equivalent atoms:
Ac1 0.000 0.000 0.000 [1 per cell]
Ac2 0.000 0.500 0.494 [1 per cell]
Ac3 0.500 0.000 0.789 [1 per cell]
Ac4 0.500 0.500 0.288 [1 per cell]
Mn1 0.000 0.500 0.707 [1 per cell]
Sn1 0.000 0.000 0.336 [1 per cell]
Sn2 0.000 0.000 0.634 [1 per cell]
Sn3 0.000 0.500 0.140 [1 per cell]
Sn4 0.000 0.500 0.853 [1 per cell]
Sn5 0.500 0.000 0.148 [1 per cell]
Sn6 0.500 0.000 0.442 [1 per cell]
Sn7 0.500 0.500 0.633 [1 per cell]
Sn8 0.500 0.500 0.956 [1 per cell]

Values from the calculation:
ΔE_f   -0.523 eV/atom

=====

Entry from the Alexandria database: crystalline Ac2MnSn8 at its relaxed geometry (PBE).

Cell lengths 4.851, 4.851, 12.890 Å; angles 90.00, 90.00, 90.00 degrees
Space group P4/mmm (No. 123)
One atom of each set of equivalent atoms:
Ac1 0.000 0.000 0.193 [2 per cell]
Mn1 0.000 0.000 0.500 [1 per cell]
Sn1 0.000 0.500 0.000 [2 per cell]
Sn2 0.000 0.500 0.384 [4 per cell]
Sn3 0.500 0.500 0.189 [2 per cell]

Values from the calculation:
ΔE_f   -0.333 eV/atom

=====

Entry from the Alexandria database: crystalline AcMnSn2 at its relaxed geometry (PBE).

Cell lengths 3.760, 3.760, 7.484 Å; angles 90.00, 90.00, 90.00 degrees
Space group P4/mmm (No. 123)
One atom of each set of equivalent atoms:
Ac1 0.000 0.000 0.000 [1 per cell]
Mn1 0.000 0.000 0.500 [1 per cell]
Sn1 0.500 0.500 0.307 [2 per cell]

Values from the calculation:
ΔE_f   -0.120 eV/atom

=====

Entry from the Alexandria database: crystalline Ac2TbMnTe5 at its relaxed geometry (PBE).

Cell lengths 4.495, 19.145, 13.651 Å; angles 90.00, 90.00, 90.00 degrees
Space group Cmc2_1 (No. 36)
One atom of each set of equivalent atoms:
Ac1 0.000 0.117 0.000 [4 per cell]
Ac2 0.000 0.124 0.356 [4 per cell]
Tb1 0.000 0.180 0.679 [4 per cell]
Mn1 0.000 0.439 0.090 [4 per cell]
Te1 0.000 0.019 0.682 [4 per cell]
Te2 0.000 0.304 0.020 [4 per cell]
Te3 0.000 0.306 0.338 [4 per cell]
Te4 0.000 0.343 0.676 [4 per cell]
Te5 0.000 0.499 0.414 [4 per cell]

Values from the calculation:
Total energy   -5.443 eV per atom

=====

Entry from the Alexandria database: crystalline Ac2MnTe5 at its relaxed geometry (PBE).

Cell lengths 11.039, 11.061, 8.836 Å; angles 90.00, 90.00, 90.00 degrees
Space group Fmm2 (No. 42)
One atom of each set of equivalent atoms:
Ac1 0.250 0.250 0.000 [8 per cell]
Mn1 0.000 0.000 0.290 [4 per cell]
Te1 0.000 0.000 0.569 [4 per cell]
Te2 0.000 0.238 0.250 [8 per cell]
Te3 0.239 0.000 0.250 [8 per cell]

Values from the calculation:
Total energy   -5.046 eV per atom

=====

Entry from the Alexandria database: crystalline AcMnTe at its relaxed geometry (PBE).

Cell lengths 8.793, 10.222, 6.248 Å; angles 90.00, 134.62, 90.00 degrees
Space group C2/m (No. 12)
One atom of each set of equivalent atoms:
Ac1 0.000 0.250 0.000 [4 per cell]
Mn1 0.000 0.128 0.500 [4 per cell]
Te1 0.225 0.500 0.501 [4 per cell]

Values from the calculation:
Total energy   -5.669 eV per atom

=====

Entry from the Alexandria database: crystalline Ac3MnTl4Te8 at its relaxed geometry (PBE).

Cell lengths 9.3503, 9.3503, 24.1479 Å; angles 90.00, 90.00, 120.00 degrees
Space group R-3m (No. 166, hexagonal axes)
One atom of each set of equivalent atoms:
Ac1 0.0000 0.5000 0.0000 [9 per cell]
Mn1 0.0000 0.0000 0.0000 [3 per cell]
Tl1 0.0000 0.0000 0.5000 [3 per cell]
Tl2 0.0000 0.5000 0.5000 [9 per cell]
Te1 0.0000 0.0000 0.2548 [6 per cell]
Te2 0.0311 0.5156 0.7388 [18 per cell]

Values from the calculation:
Total energy   -4.350 eV per atom

=====

Entry from the Alexandria database: crystalline Ac2MnTl3Te6 at its relaxed geometry (PBE).

Cell lengths 8.056, 13.702, 8.551 Å; angles 90.00, 109.41, 90.00 degrees
Space group C2/m (No. 12)
One atom of each set of equivalent atoms:
Ac1 0.000 0.163 0.000 [4 per cell]
Mn1 0.000 0.500 0.000 [2 per cell]
Tl1 0.000 0.000 0.500 [2 per cell]
Tl2 0.000 0.324 0.500 [4 per cell]
Te1 0.212 0.356 0.205 [8 per cell]
Te2 0.234 0.500 0.757 [4 per cell]

Values from the calculation:
Total energy   -4.378 eV per atom

=====

| no. | N(E_F) (states/eV/atom) | mass density (g/cm³) |
| --- | --- | --- |
| 1 | 0.5189 | 7.863 |
| 2 | 0.6100 | 7.985 |
| 3 | 0.8140 | 8.152 |
| 4 | 0.4035 | 7.383 |
| 5 | 0.3223 | 7.061 |
| 6 | 1.0395 | 6.805 |
| 7 | 0.4219 | 7.014 |
| 8 | 0.2317 | 7.042 |